Record 1
# ReSiOs2

ReSiOs2 after structural relaxation (GGA-PBE, Alexandria).

Formation energy from raw total energies (meV/atom): 864
Energy (eV/atom): -9.219

Cell: 6.705 6.705 6.705 Å, 131.53 131.53 70.97°
Sites, in units of the cell vectors:
Re  0.000  0.000  0.000
Re  0.750  0.250  0.500
Si  0.250  0.750  0.500
Si  0.500  0.500  0.000
Os  0.135  0.625  0.010
Os  0.375  0.385  0.510
Os  0.615  0.125  0.990
Os  0.875  0.865  0.490

Record 2
# SnGeBi

SnGeBi after structural relaxation (GGA-PBE, Alexandria).

Energy above the lowest structure with this stoichiometry (eV/atom): 0.004
Energy (eV/atom): -4.026
Calculated formation energy (kJ/mol of formula units): 41

Cell: 6.351 6.351 5.785 Å, 117.05 117.05 54.74°
Sites, in units of the cell vectors:
Sn  0.000  0.000  0.000
Sn  0.609  0.609  0.608
Ge  0.063  0.063  0.563
Ge  0.301  0.301  0.301
Bi  0.377  0.377  0.876
Bi  0.749  0.749  0.248

Record 3
# KSr2HgPt

KSr2HgPt after structural relaxation (GGA-PBE, Alexandria).

Energy (eV/atom): -2.526
Calculated formation energy (kJ/mol of formula units): -176

Cell: 5.938 5.938 5.488 Å, 90.00 90.00 90.00°
Sites, in units of the cell vectors:
K  0.000  0.000  0.000
Sr  0.000  0.500  0.500
Sr  0.500  0.000  0.500
Hg  0.500  0.500  0.000
Pt  0.500  0.500  0.500

Q: Which formula does entry 1 have?
A: ReSiOs2